Entry a
{"formula": "Sc2AlAgH", "functional": "PBE", "state": "optimized geometry", "lattice": [[4.516, 0.000, 0.000], [0.000, 4.516, 0.000], [0.000, 0.000, 3.963]], "species": ["Sc", "Sc", "Ag", "Al", "H"], "frac_coords": [[0.500, 0.000, 0.000], [0.000, 0.500, 0.000], [0.500, 0.500, 0.500], [0.000, 0.000, 0.500], [0.000, 0.000, 0.000]], "crystal_system": "tetragonal", "dos_ef_per_ev_atom": 0.79, "space_group": "P4/mmm (123)"}



Entry b
{"formula": "Sc2AlAgH", "functional": "PBE", "state": "optimized geometry", "lattice": [[4.418, 0.000, 0.000], [0.000, 4.418, 0.000], [0.000, 0.000, 4.127]], "species": ["Sc", "Sc", "Al", "H", "Ag"], "frac_coords": [[0.500, 0.000, 0.000], [0.000, 0.500, 0.000], [0.500, 0.500, 0.500], [0.000, 0.000, 0.000], [0.000, 0.000, 0.500]], "crystal_system": "tetragonal", "dos_ef_per_ev_atom": 0.56, "space_group": "P4/mmm (123)"}



Of them, entry a has the lowest stability.



Entry a
{"formula": "Zr2AlAgH", "functional": "PBE", "state": "optimized geometry", "lattice": [[4.341, 0.000, 0.000], [0.000, 4.341, 0.000], [0.000, 0.000, 4.289]], "species": ["Ag", "Zr", "Zr", "Al", "H"], "frac_coords": [[0.000, 0.000, 0.500], [0.000, 0.500, 0.000], [0.500, 0.000, 0.000], [0.500, 0.500, 0.500], [0.000, 0.000, 0.000]], "crystal_system": "tetragonal", "dos_ef_per_ev_atom": 0.42, "space_group": "P4/mmm (123)"}



Entry b
{"formula": "Zr2AlAgH", "functional": "PBE", "state": "optimized geometry", "lattice": [[4.332, 0.000, 0.000], [0.000, 4.332, 0.000], [0.000, 0.000, 4.309]], "species": ["Zr", "Zr", "Al", "H", "Ag"], "frac_coords": [[0.500, 0.000, 0.000], [0.000, 0.500, 0.000], [0.000, 0.000, 0.500], [0.000, 0.000, 0.000], [0.500, 0.500, 0.500]], "crystal_system": "tetragonal", "dos_ef_per_ev_atom": 0.64, "space_group": "P4/mmm (123)"}



Of them, entry b has the lowest stability.



Entry a
{"formula": "AlAg2Hg", "functional": "PBE", "state": "optimized geometry", "lattice": [[4.272, 0.000, 0.000], [0.000, 4.171, 0.000], [0.000, 0.000, 4.171]], "species": ["Ag", "Ag", "Hg", "Al"], "frac_coords": [[0.000, 0.000, 0.000], [0.000, 0.500, 0.500], [0.500, 0.000, 0.500], [0.500, 0.500, 0.000]], "crystal_system": "tetragonal", "dos_ef_per_ev_atom": 0.29, "space_group": "P4/mmm (123)"}



Entry b
{"formula": "AlAg2Hg", "functional": "PBE", "state": "optimized geometry", "lattice": [[-1.934, 0.502, -2.447], [0.237, -2.738, 1.291], [-6.797, 2.188, 5.823]], "species": ["Ag", "Ag", "Al", "Hg"], "frac_coords": [[0.338, 0.675, 0.729], [0.662, 0.325, 0.271], [0.000, 0.000, 0.500], [0.000, 0.000, 0.000]], "crystal_system": "monoclinic", "dos_ef_per_ev_atom": 0.30, "space_group": "C2/m (12)"}



Of them, entry a has the lowest stability.



Entry a
{"formula": "AlAg2Hg", "functional": "PBE", "state": "optimized geometry", "lattice": [[9.371, -0.013, -0.008], [8.872, 3.018, -0.008], [8.872, 1.461, 2.640]], "species": ["Ag", "Ag", "Al", "Hg"], "frac_coords": [[0.507, 0.507, 0.507], [0.993, 0.993, 0.993], [0.250, 0.250, 0.250], [0.750, 0.750, 0.750]], "crystal_system": "trigonal", "dos_ef_per_ev_atom": 0.59, "space_group": "R-3m (166)"}



Entry b
{"formula": "AlAg2Hg", "functional": "PBE", "state": "optimized geometry", "lattice": [[7.699, 0.000, 0.000], [0.000, 7.699, 0.000], [3.850, 3.850, 2.791]], "species": ["Hg", "Hg", "Al", "Al", "Ag", "Ag", "Ag", "Ag"], "frac_coords": [[0.000, 0.000, 0.000], [0.750, 0.250, 0.500], [0.500, 0.500, 0.000], [0.250, 0.750, 0.500], [0.158, 0.625, 0.250], [0.592, 0.125, 0.250], [0.375, 0.408, 0.750], [0.875, 0.842, 0.750]], "crystal_system": "tetragonal", "dos_ef_per_ev_atom": 0.37, "space_group": "I-42d (122)"}



Entry c
{"formula": "AlAg2Hg", "functional": "PBE", "state": "optimized geometry", "lattice": [[-2.682, -4.683, -1.625], [1.897, -2.463, -4.701], [1.000, 1.606, 5.309]], "species": ["Al", "Ag", "Ag", "Hg"], "frac_coords": [[0.750, 0.250, 0.500], [0.519, 0.519, 0.000], [0.981, 0.981, 0.000], [0.250, 0.750, 0.500]], "crystal_system": "orthorhombic", "dos_ef_per_ev_atom": 0.29, "space_group": "Immm (71)"}



Of them, entry b has the lowest stability.